--- w ---
# SrLa2Cu2

A relaxed SrLa2Cu2 crystal (GGA-PBE, Alexandria).

Cell lengths 5.277, 5.277, 6.633 Å; angles 66.56, 66.56, 90.00 degrees
Fractional coordinates of all 5 atoms:
La1 0.642 0.642 0.715
La2 0.358 0.358 0.285
Sr1 0.000 0.000 0.000
Cu1 0.750 0.250 0.500
Cu2 0.250 0.750 0.500

Summary:
The space group is I4/mmm, No. 139.

--- x ---
# SrLa2Cu2

A relaxed SrLa2Cu2 crystal (GGA-PBE, Alexandria).

Cell lengths 8.490, 8.490, 3.977 Å; angles 90.00, 90.00, 90.00 degrees
Fractional coordinates of all 10 atoms:
Sr1 0.000 0.000 0.000
Sr2 0.500 0.500 0.000
La1 0.346 0.154 0.500
La2 0.846 0.346 0.500
La3 0.654 0.846 0.500
La4 0.154 0.654 0.500
Cu1 0.382 0.882 0.000
Cu2 0.618 0.118 0.000
Cu3 0.882 0.618 0.000
Cu4 0.118 0.382 0.000

Summary:
The space group is P4/mbm, No. 127.

--- y ---
# SrLa2Cu2

A relaxed SrLa2Cu2 crystal (GGA-PBE, Alexandria).

Cell lengths 5.015, 5.015, 6.859 Å; angles 68.56, 68.56, 90.00 degrees
Fractional coordinates of all 5 atoms:
Sr1 0.000 0.000 0.000
La1 0.250 0.750 0.500
La2 0.750 0.250 0.500
Cu1 0.397 0.397 0.206
Cu2 0.603 0.603 0.794

Summary:
The space group is I4/mmm, No. 139.

On energetic grounds, x is preferred over the next structure by 81 meV/atom.

--- w ---
# SrLa3Cu

A relaxed SrLa3Cu crystal (GGA-PBE, Alexandria).

Cell lengths 5.901, 5.901, 5.901 Å; angles 90.00, 90.00, 90.00 degrees
Fractional coordinates of all 5 atoms:
La1 0.000 0.500 0.000
La2 0.000 0.000 0.500
La3 0.500 0.000 0.000
Sr1 0.000 0.000 0.000
Cu1 0.500 0.500 0.500

Summary:
The space group is Pm-3m, No. 221.

--- x ---
# SrLa3Cu

A relaxed SrLa3Cu crystal (GGA-PBE, Alexandria).

Cell lengths 5.801, 5.801, 5.801 Å; angles 90.00, 90.00, 90.00 degrees
Fractional coordinates of all 5 atoms:
La1 0.500 0.000 0.000
La2 0.000 0.500 0.000
La3 0.000 0.000 0.500
Sr1 0.500 0.500 0.500
Cu1 0.000 0.000 0.000

Summary:
The space group is Pm-3m, No. 221.

On energetic grounds, x is preferred over the next structure by 1074 meV/atom.

--- w ---
# SrLaCu

A relaxed SrLaCu crystal (GGA-PBE, Alexandria).

Cell lengths 4.473, 3.963, 12.073 Å; angles 90.00, 90.00, 90.00 degrees
Fractional coordinates of all 6 atoms:
Cu1 0.250 0.000 0.064
Cu2 0.750 0.000 0.936
La1 0.750 0.500 0.126
La2 0.250 0.500 0.874
Sr1 0.250 0.000 0.357
Sr2 0.750 0.000 0.643

Summary:
The space group is Pmma, No. 51.

--- x ---
# SrLaCu

A relaxed SrLaCu crystal (GGA-PBE, Alexandria).

Cell lengths 5.203, 5.203, 5.203 Å; angles 60.00, 60.00, 60.00 degrees
Fractional coordinates of all 3 atoms:
Cu1 0.750 0.750 0.750
La1 0.000 0.000 0.000
Sr1 0.500 0.500 0.500

Summary:
The space group is F-43m, No. 216.

On energetic grounds, w is preferred over the next structure by 190 meV/atom.

--- w ---
# SrLaCu3

A relaxed SrLaCu3 crystal (GGA-PBE, Alexandria).

Cell lengths 4.049, 4.352, 13.884 Å; angles 90.00, 98.38, 90.00 degrees
Fractional coordinates of all 10 atoms:
Cu1 0.611 0.750 0.222
Cu2 0.478 0.250 0.957
Cu3 0.656 0.250 0.312
Cu4 0.344 0.750 0.688
Cu5 0.522 0.750 0.043
Cu6 0.389 0.250 0.778
Sr1 0.198 0.750 0.395
Sr2 0.802 0.250 0.605
La1 0.066 0.250 0.133
La2 0.934 0.750 0.867

Summary:
The space group is Cmcm, No. 63.

--- x ---
# SrLaCu3

A relaxed SrLaCu3 crystal (GGA-PBE, Alexandria).

Cell lengths 5.197, 5.197, 5.197 Å; angles 90.00, 90.00, 90.00 degrees
Fractional coordinates of all 5 atoms:
Cu1 0.000 0.500 0.000
Cu2 0.500 0.000 0.000
Cu3 0.000 0.000 0.500
Sr1 0.000 0.000 0.000
La1 0.500 0.500 0.500

Summary:
The space group is Pm-3m, No. 221.

On energetic grounds, w is preferred over the next structure by 858 meV/atom.

--- w ---
# LaTaCu2

A relaxed LaTaCu2 crystal (GGA-PBE, Alexandria).

Cell lengths 5.496, 5.496, 5.044 Å; angles 70.90, 70.90, 30.73 degrees
Fractional coordinates of all 4 atoms:
Cu1 0.720 0.720 0.728
Cu2 0.029 0.029 0.037
La1 0.481 0.481 0.559
Ta1 0.270 0.270 0.176

Summary:
The space group is Cm, No. 8.

--- x ---
# LaTaCu2

A relaxed LaTaCu2 crystal (GGA-PBE, Alexandria).

Cell lengths 5.746, 5.746, 5.746 Å; angles 149.50, 129.53, 60.13 degrees
Fractional coordinates of all 4 atoms:
Ta1 0.772 0.272 0.500
Cu1 0.220 0.720 0.500
Cu2 0.020 0.020 0.000
La1 0.488 0.488 0.000

Summary:
The space group is Imm2, No. 44.

--- y ---
# LaTaCu2

A relaxed LaTaCu2 crystal (GGA-PBE, Alexandria).

Cell lengths 5.060, 5.060, 2.946 Å; angles 90.02, 90.02, 104.74 degrees
Fractional coordinates of all 4 atoms:
Ta1 0.000 0.500 0.500
Cu1 0.500 0.500 0.000
Cu2 0.000 0.000 0.000
La1 0.500 0.000 0.500

Summary:
The space group is Cmmm, No. 65.

On energetic grounds, y is preferred over the next structure by 28 meV/atom.

--- w ---
# LaTaCu2

A relaxed LaTaCu2 crystal (GGA-PBE, Alexandria).

Cell lengths 4.790, 4.790, 4.790 Å; angles 60.00, 60.00, 60.00 degrees
Last column: magnetic moment on the atom in μB.
Fractional coordinates of all 4 atoms:
La1 0.000 0.000 0.000  0.11
Ta1 0.500 0.500 0.500  0.67
Cu1 0.250 0.250 0.250  0.06
Cu2 0.750 0.750 0.750  0.06

Summary:
The space group is Fm-3m, No. 225.

--- x ---
# LaTaCu2

A relaxed LaTaCu2 crystal (GGA-PBE, Alexandria).

Cell lengths 4.880, 4.880, 3.148 Å; angles 90.00, 90.00, 90.00 degrees
Fractional coordinates of all 4 atoms:
Ta1 0.000 0.500 0.500
Cu1 0.000 0.000 0.000
Cu2 0.500 0.500 0.000
La1 0.500 0.000 0.500

Summary:
The space group is P4/mmm, No. 123.

On energetic grounds, x is preferred over the next structure by 65 meV/atom.